Ca2MgP3Rh12 | PBE-GGA | optimized geometry

## Properties
Density of states at the Fermi level = 14.738 states/eV per cell
Space group = R-3m (166)
DFT formation energy = -4.08 eV per formula unit

Lattice parameters (Å, degrees): 6.631 6.631 6.631 83.04 83.04 83.04
Fractional coordinates of all 18 atoms:
Ca1 0.116 0.116 0.116
Ca2 0.884 0.884 0.884
Mg1 0.500 0.500 0.500
P1 0.000 0.500 0.500
P2 0.500 0.000 0.500
P3 0.500 0.500 0.000
Rh1 0.136 0.136 0.581
Rh2 0.136 0.581 0.136
Rh3 0.170 0.677 0.677
Rh4 0.323 0.323 0.830
Rh5 0.323 0.830 0.323
Rh6 0.419 0.864 0.864
Rh7 0.581 0.136 0.136
Rh8 0.677 0.170 0.677
Rh9 0.677 0.677 0.170
Rh10 0.830 0.323 0.323
Rh11 0.864 0.419 0.864
Rh12 0.864 0.864 0.419

---

Cd3In3Ga | PBE-GGA | optimized geometry

## Properties
Density of states at the Fermi level = 11.495 states/eV per cell
Relative energy among the computed polymorphs = 407 meV per atom
Space group = Pm-3n (223)
DFT formation energy = 3.22 eV per formula unit

Lattice parameters (Å, degrees): 8.066 8.066 8.066 90.00 90.00 90.00
Fractional coordinates of all 14 atoms:
Cd1 0.000 0.250 0.500
Cd2 0.000 0.750 0.500
Cd3 0.250 0.500 0.000
Cd4 0.500 0.000 0.250
Cd5 0.500 0.000 0.750
Cd6 0.750 0.500 0.000
In1 0.000 0.500 0.250
In2 0.000 0.500 0.750
In3 0.250 0.000 0.500
In4 0.500 0.250 0.000
In5 0.500 0.750 0.000
In6 0.750 0.000 0.500
Ga1 0.000 0.000 0.000
Ga2 0.500 0.500 0.500

---

MgAlGa2 | PBE-GGA | optimized geometry

## Properties
Density of states at the Fermi level = 1.654 states/eV per cell
Space group = P4/mmm (123)
DFT formation energy = -0.22 eV per formula unit

Lattice parameters (Å, degrees): 4.226 4.226 4.076 90.00 90.00 90.00
Fractional coordinates of all 4 atoms:
Mg1 0.000 0.000 0.000
Al1 0.500 0.500 0.000
Ga1 0.000 0.500 0.500
Ga2 0.500 0.000 0.500

---

AsPb2W | PBE-GGA | optimized geometry

## Properties
Density of states at the Fermi level = 7.821 states/eV per cell
Space group = C2/m (12)
DFT formation energy = 3.90 eV per formula unit

Lattice parameters (Å, degrees): 10.578 3.127 5.525 90.00 94.81 90.00
Fractional coordinates of all 8 atoms:
As1 0.000 0.000 0.000
As2 0.500 0.500 0.000
Pb1 0.232 0.000 0.741
Pb2 0.268 0.500 0.259
Pb3 0.732 0.500 0.741
Pb4 0.768 0.000 0.259
W1 0.000 0.500 0.500
W2 0.500 0.000 0.500

---

CsWSe4 | PBE-GGA | optimized geometry

## Properties
Density of states at the Fermi level = 5.020 states/eV per cell
Relative energy among the computed polymorphs = 0 meV per atom
Space group = P-1 (2)

Lattice parameters (Å, degrees): 6.458 8.797 9.110 116.30 100.59 102.45
Fractional coordinates of all 12 atoms:
Cs1 0.107 0.197 0.355
Cs2 0.893 0.803 0.645
W1 0.277 0.500 0.000
W2 0.723 0.500 0.000
Se1 0.079 0.741 0.025
Se2 0.098 0.606 0.255
Se3 0.368 0.233 0.788
Se4 0.485 0.603 0.828
Se5 0.515 0.397 0.172
Se6 0.632 0.767 0.212
Se7 0.902 0.394 0.745
Se8 0.921 0.259 0.975

---

ZnBiH | PBE-GGA | optimized geometry

## Properties
Density of states at the Fermi level = 2.221 states/eV per cell
Relative energy among the computed polymorphs = 263 meV per atom
Space group = Pnma (62)

Lattice parameters (Å, degrees): 7.241 4.512 7.544 90.00 90.00 90.00
Fractional coordinates of all 12 atoms:
Zn1 0.083 0.250 0.084
Zn2 0.417 0.750 0.584
Zn3 0.583 0.250 0.416
Zn4 0.917 0.750 0.916
Bi1 0.190 0.250 0.439
Bi2 0.310 0.750 0.939
Bi3 0.690 0.250 0.061
Bi4 0.810 0.750 0.561
H1 0.242 0.750 0.425
H2 0.258 0.250 0.925
H3 0.742 0.750 0.075
H4 0.758 0.250 0.575

---

AcNd2SmTm | PBE-GGA | optimized geometry

## Properties
Density of states at the Fermi level = 13.923 states/eV per cell
Space group = Cmcm (63)
DFT formation energy = 1.74 eV per formula unit

Lattice parameters (Å, degrees): 7.402 7.402 7.403 90.00 90.00 111.04
Fractional coordinates of all 10 atoms:
Ac1 0.243 0.757 0.750
Ac2 0.757 0.243 0.250
Nd1 0.304 0.304 0.000
Nd2 0.304 0.304 0.500
Nd3 0.696 0.696 0.000
Nd4 0.696 0.696 0.500
Sm1 0.056 0.944 0.250
Sm2 0.944 0.056 0.750
Tm1 0.307 0.693 0.250
Tm2 0.693 0.307 0.750

---

Pm4P2S | PBE-GGA | optimized geometry

## Properties
Density of states at the Fermi level = 11.069 states/eV per cell
Calculated total energy = -6.16 eV per atom
Space group = I4_1/amd (141)

Lattice parameters (Å, degrees): 7.828 7.828 7.828 110.00 110.00 108.42
Fractional coordinates of all 14 atoms:
Pm1 0.204 0.257 0.554
Pm2 0.204 0.650 0.946
Pm3 0.257 0.204 0.054
Pm4 0.350 0.796 0.554
Pm5 0.650 0.204 0.446
Pm6 0.743 0.796 0.946
Pm7 0.796 0.350 0.054
Pm8 0.796 0.743 0.446
P1 0.000 0.500 0.500
P2 0.500 0.000 0.000
P3 0.500 0.500 0.000
P4 0.500 0.500 0.500
S1 0.125 0.875 0.250
S2 0.875 0.125 0.750